K4MoO5: optimized geometry, PBE with a Hubbard U.

Unit cell a=6.382 b=10.348 c=17.191 alpha=94.35 beta=92.55 gamma=96.23
Atoms (fractional coordinates):
K (0.012, 0.010, 0.180)
K (0.060, 0.581, 0.415)
K (0.069, 0.351, 0.219)
K (0.076, 0.197, 0.007)
K (0.234, 0.542, 0.058)
K (0.240, 0.951, 0.431)
K (0.263, 0.404, 0.849)
K (0.283, 0.114, 0.656)
K (0.432, 0.912, 0.094)
K (0.454, 0.160, 0.288)
K (0.456, 0.501, 0.679)
K (0.458, 0.295, 0.492)
K (0.542, 0.705, 0.508)
K (0.544, 0.499, 0.321)
K (0.546, 0.840, 0.712)
K (0.568, 0.088, 0.906)
K (0.717, 0.886, 0.344)
K (0.737, 0.596, 0.151)
K (0.760, 0.049, 0.569)
K (0.766, 0.458, 0.942)
K (0.924, 0.803, 0.993)
K (0.931, 0.649, 0.781)
K (0.940, 0.419, 0.585)
K (0.988, 0.990, 0.820)
Mo (0.063, 0.774, 0.593)
Mo (0.220, 0.734, 0.249)
Mo (0.400, 0.743, 0.903)
Mo (0.600, 0.257, 0.097)
Mo (0.780, 0.266, 0.751)
Mo (0.937, 0.226, 0.407)
O (0.044, 0.879, 0.685)
O (0.045, 0.305, 0.713)
O (0.073, 0.182, 0.497)
O (0.091, 0.761, 0.146)
O (0.142, 0.632, 0.923)
O (0.184, 0.338, 0.378)
O (0.210, 0.626, 0.581)
O (0.271, 0.894, 0.925)
O (0.323, 0.882, 0.574)
O (0.341, 0.592, 0.206)
O (0.342, 0.159, 0.125)
O (0.359, 0.903, 0.251)
O (0.361, 0.719, 0.351)
O (0.373, 0.660, 0.802)
O (0.459, 0.318, 0.012)
O (0.541, 0.682, 0.988)
O (0.627, 0.340, 0.198)
O (0.639, 0.281, 0.649)
O (0.641, 0.097, 0.749)
O (0.658, 0.841, 0.875)
O (0.659, 0.408, 0.794)
O (0.677, 0.118, 0.426)
O (0.729, 0.106, 0.075)
O (0.790, 0.374, 0.419)
O (0.816, 0.662, 0.622)
O (0.858, 0.368, 0.077)
O (0.909, 0.239, 0.854)
O (0.927, 0.818, 0.503)
O (0.955, 0.695, 0.287)
O (0.956, 0.121, 0.315)

E in eV/atom: -5.3429
Calculated volume in Å³/f.u.: 187.3
Density in g cm⁻³: 2.946
Excess energy over the best structure of this formula in the dataset in meV per atom: 0
Symmetry: P-1, No. 2